No. 1
KAs2O | Alexandria | PBE | optimized geometry; crystal system = tetragonal; total magnetic moment = 0.0 μB/f.u.; N(E_F) = 5.300 states/eV/cell; space group = No. 141; E_form (uncorrected) = -1.106 eV per formula unit
1.0
-2.6245 2.6245 7.1333
2.6245 -2.6245 7.1333
2.6245 2.6245 -7.1333
K As O
2 4 2
Direct
0.3750 0.6250 0.7500
0.6250 0.3750 0.2500
0.0000 0.0000 0.0000
0.0000 0.0000 0.5000
0.0000 0.5000 0.0000
0.5000 0.0000 0.5000
0.1250 0.8750 0.2500
0.8750 0.1250 0.7500



No. 2
K2AsO3 | Alexandria | PBE | optimized geometry; crystal system = triclinic; total magnetic moment = 0.0 μB/f.u.; N(E_F) = 0.000 states/eV/cell; space group = No. 2; E_form (uncorrected) = -9.651 eV per formula unit
1.0
6.4808 0.0000 0.0000
-2.7325 6.0609 0.0000
-1.9783 -2.1291 12.3976
K As O
8 4 12
Direct
0.0383 0.4283 0.3651
0.1489 0.3965 0.9185
0.3568 0.0024 0.8739
0.3852 0.1318 0.4145
0.6148 0.8682 0.5855
0.6432 0.9976 0.1261
0.8511 0.6035 0.0815
0.9617 0.5717 0.6349
0.2566 0.2481 0.6592
0.3112 0.3013 0.1761
0.6888 0.6987 0.8239
0.7434 0.7519 0.3408
0.0063 0.1986 0.7034
0.0588 0.3288 0.1271
0.2783 0.0071 0.6147
0.2943 0.4284 0.5676
0.4175 0.2484 0.0638
0.4835 0.3738 0.7782
0.5165 0.6262 0.2218
0.5825 0.7516 0.9362
0.7057 0.5716 0.4324
0.7217 0.9929 0.3853
0.9412 0.6712 0.8729
0.9937 0.8014 0.2966



No. 3
KAs3O | Alexandria | PBE | optimized geometry; crystal system = cubic; total magnetic moment = 4.1 μB/f.u.; N(E_F) = 7.083 states/eV/cell; space group = No. 221; E_form (uncorrected) = 10.267 eV per formula unit
1.0
5.6589 0.0000 0.0000
0.0000 5.6589 0.0000
0.0000 0.0000 5.6589
K As O
1 3 1
Direct
0.0000 0.0000 0.0000
0.0000 0.0000 0.5000
0.0000 0.5000 0.0000
0.5000 0.0000 0.0000
0.5000 0.5000 0.5000



No. 4
KAs3O | Alexandria | PBE | optimized geometry; crystal system = cubic; total magnetic moment = 0.0 μB/f.u.; N(E_F) = 4.258 states/eV/cell; space group = No. 221; E_form (uncorrected) = 0.923 eV per formula unit
1.0
4.6269 0.0000 0.0000
0.0000 4.6269 0.0000
0.0000 0.0000 4.6269
K As O
1 3 1
Direct
0.0000 0.0000 0.0000
0.0000 0.5000 0.5000
0.5000 0.0000 0.5000
0.5000 0.5000 0.0000
0.5000 0.5000 0.5000



Which formula does entry 2 have?
K2AsO3



Which of these has the highest N(E_F)?
number 3



What is the E_form (uncorrected) in the fourth record?
0.923 eV per formula unit



Look up the total magnetic moment of the fourth one.
0.0 μB/f.u.